No. 1
Here is a PBEsol-optimized structure of InPb2Au from Alexandria via LeMat-Bulk. Energies are from SCAN. Values from VASP.

The structure in Quantum ESPRESSO input format:
```
&SYSTEM
  ibrav = 0, nat = 4, ntyp = 3
/
ATOMIC_SPECIES
In 114.82 In.upf
Au 196.97 Au.upf
Pb 207.20 Pb.upf
ATOMIC_POSITIONS crystal
In 0.329 0.500 0.778
Au 0.159 0.000 0.452
Pb 0.907 0.000 0.937
Pb 0.605 0.500 0.333
CELL_PARAMETERS angstrom
-1.481 0.236 -4.064
2.634 -3.053 -1.137
-3.239 -3.979 3.181
```

Output
Total DFT energy (no corrections) in eV per cell: -254.3
D(E_F) in states/eV/atom: 0.40
Energy of formation in kJ/mol of formula units: -21
Space group: Pm

---

No. 2
Here is a PBEsol-optimized structure of KIn2Sn2 from Alexandria via LeMat-Bulk. Energies are from SCAN. Values from VASP.

The structure in Quantum ESPRESSO input format:
```
&SYSTEM
  ibrav = 0, nat = 5, ntyp = 3
/
ATOMIC_SPECIES
Sn 118.71 Sn.upf
K 39.10 K.upf
In 114.82 In.upf
ATOMIC_POSITIONS crystal
Sn 0.625 0.625 0.250
Sn 0.375 0.375 0.750
K 0.000 0.000 0.000
In 0.250 0.750 0.500
In 0.750 0.250 0.500
CELL_PARAMETERS angstrom
-0.401 0.551 -5.145
-4.886 -1.738 0.195
0.770 5.942 3.194
```

Output
Total DFT energy (no corrections) in eV per cell: -148.1
D(E_F) in states/eV/atom: 0.25
Energy of formation in kJ/mol of formula units: -115
Space group: I4/mmm

---

No. 3
Here is a PBEsol-optimized structure of NaMgH4SO6F from Alexandria via LeMat-Bulk. Energies are from SCAN. Values from VASP.

The structure in Quantum ESPRESSO input format:
```
&SYSTEM
  ibrav = 0, nat = 28, ntyp = 6
/
ATOMIC_SPECIES
O 16.00 O.upf
H 1.01 H.upf
Mg 24.30 Mg.upf
F 19.00 F.upf
Na 22.99 Na.upf
S 32.06 S.upf
ATOMIC_POSITIONS crystal
O 0.207 0.917 0.824
O 0.348 0.750 0.592
O 0.793 0.083 0.176
O 0.672 0.043 0.739
O 0.207 0.583 0.824
O 0.104 0.250 0.465
O 0.896 0.750 0.535
O 0.328 0.543 0.261
O 0.793 0.417 0.176
O 0.672 0.457 0.739
O 0.652 0.250 0.408
O 0.328 0.957 0.261
H 0.571 0.574 0.690
H 0.305 0.598 0.380
H 0.429 0.074 0.310
H 0.695 0.402 0.620
H 0.695 0.098 0.620
H 0.571 0.926 0.690
H 0.305 0.902 0.380
H 0.429 0.426 0.310
Mg 0.000 0.000 0.000
Mg 0.000 0.500 0.000
F 0.119 0.250 0.982
F 0.881 0.750 0.018
Na 0.378 0.250 0.809
Na 0.622 0.750 0.191
S 0.154 0.750 0.692
S 0.846 0.250 0.308
CELL_PARAMETERS angstrom
-3.790 -2.732 -3.243
-3.975 -1.437 5.855
-1.439 6.927 0.722
```

Output
Total DFT energy (no corrections) in eV per cell: -199.4
D(E_F) in states/eV/atom: 0.00
Space group: P2_1/m

---

No. 4
Here is a PBEsol-optimized structure of Sc3NbO from Alexandria via LeMat-Bulk. Energies are from SCAN. Values from VASP.

The structure in Quantum ESPRESSO input format:
```
&SYSTEM
  ibrav = 0, nat = 5, ntyp = 3
/
ATOMIC_SPECIES
Nb 92.91 Nb.upf
Sc 44.96 Sc.upf
O 16.00 O.upf
ATOMIC_POSITIONS crystal
Nb 0.500 0.500 0.500
Sc 0.000 0.000 0.500
Sc 0.000 0.500 0.000
Sc 0.500 0.000 0.000
O 0.000 0.000 0.000
CELL_PARAMETERS angstrom
4.381 0.000 0.000
0.000 4.381 0.000
0.000 0.000 4.381
```

Output
Formation energy without anion corrections in kJ/mol of formula units: -582
Total DFT energy (no corrections) in eV per cell: -88.1
D(E_F) in states/eV/atom: 1.30
Space group: Pm-3m

---

No. 5
Here is a PBEsol-optimized structure of CuTcCl2 from Alexandria via LeMat-Bulk. Energies are from SCAN. Values from VASP.

The structure in Quantum ESPRESSO input format:
```
&SYSTEM
  ibrav = 0, nat = 4, ntyp = 3
/
ATOMIC_SPECIES
Cl 35.45 Cl.upf
Tc 98.00 Tc.upf
Cu 63.55 Cu.upf
ATOMIC_POSITIONS crystal
Cl 0.979 0.979 0.064
Cl 0.773 0.773 0.680
Tc 0.247 0.247 0.260
Cu 0.501 0.501 0.496
CELL_PARAMETERS angstrom
-1.755 -2.525 0.127
1.307 -2.786 -0.029
0.271 -1.657 8.121
```

Output
Formation energy without anion corrections in kJ/mol of formula units: -28
Total DFT energy (no corrections) in eV per cell: -66.5
D(E_F) in states/eV/atom: 0.47
Space group: R3m

---

No. 6
Here is a PBEsol-optimized structure of HfNbRu2 from Alexandria via LeMat-Bulk. Energies are from SCAN. Values from VASP.

The structure in Quantum ESPRESSO input format:
```
&SYSTEM
  ibrav = 0, nat = 4, ntyp = 3
/
ATOMIC_SPECIES
Nb 92.91 Nb.upf
Hf 178.49 Hf.upf
Ru 101.07 Ru.upf
ATOMIC_POSITIONS crystal
Nb 0.000 0.000 0.000
Hf 0.500 0.500 0.500
Ru 0.750 0.750 0.750
Ru 0.250 0.250 0.250
CELL_PARAMETERS angstrom
-4.477 -0.256 0.048
-2.055 -3.643 -1.617
-2.053 -2.842 2.796
```

Output
Total DFT energy (no corrections) in eV per cell: -167.8
D(E_F) in states/eV/atom: 0.73
Energy of formation in kJ/mol of formula units: -225
Space group: Fm-3m

---

No. 7
Here is a PBEsol-optimized structure of Li2TlNi2 from Alexandria via LeMat-Bulk. Energies are from SCAN. Values from VASP.

The structure in Quantum ESPRESSO input format:
```
&SYSTEM
  ibrav = 0, nat = 5, ntyp = 3
/
ATOMIC_SPECIES
Li 6.94 Li.upf
Ni 58.69 Ni.upf
Tl 204.38 Tl.upf
ATOMIC_POSITIONS crystal
Li 0.750 0.250 0.500
Li 0.250 0.750 0.500
Ni 0.597 0.597 0.193
Ni 0.403 0.403 0.807
Tl 0.000 0.000 0.000
CELL_PARAMETERS angstrom
-1.210 3.250 0.586
-2.115 -1.242 2.521
5.936 -0.138 2.459
```

Output
Total DFT energy (no corrections) in eV per cell: -107.6
D(E_F) in states/eV/atom: 0.52
Energy of formation in kJ/mol of formula units: 182
Space group: I4/mmm

---

No. 8
Here is a PBEsol-optimized structure of CaFeTc2 from Alexandria via LeMat-Bulk. Energies are from SCAN. Values from VASP.

The structure in Quantum ESPRESSO input format:
```
&SYSTEM
  ibrav = 0, nat = 4, ntyp = 3
/
ATOMIC_SPECIES
Tc 98.00 Tc.upf
Ca 40.08 Ca.upf
Fe 55.84 Fe.upf
ATOMIC_POSITIONS crystal
Tc 0.500 0.500 0.189
Tc 0.000 0.000 0.999
Ca 0.000 0.000 0.504
Fe 0.500 0.500 0.808
CELL_PARAMETERS angstrom
3.053 0.000 0.000
0.000 3.053 0.000
0.000 0.000 7.132
```

Output
Total DFT energy (no corrections) in eV per cell: -96.5
D(E_F) in states/eV/atom: 1.21
Energy of formation in kJ/mol of formula units: 134
Space group: P4mm